# SrRe2PdC | Alexandria | meta-GGA SCAN | PBEsol geometry
# - ΔE_f (meV/atom) = 591
data_SrRe2PdC
_cell_length_a 4.1111
_cell_length_b 4.1111
_cell_length_c 4.6905
_cell_angle_alpha 90.00
_cell_angle_beta 90.00
_cell_angle_gamma 90.00
_symmetry_space_group_name_H-M 'P 4/m m m'
_symmetry_Int_Tables_number 123
_symmetry_space_group_name_Hall '-P 4 2'
loop_
_atom_site_label
_atom_site_type_symbol
_atom_site_fract_x
_atom_site_fract_y
_atom_site_fract_z
Sr1 Sr 0.0000 0.0000 0.0000
Re1 Re 0.0000 0.5000 0.5000
Pd1 Pd 0.5000 0.5000 0.0000
C1 C 0.5000 0.5000 0.5000

***

# Cu3Ag | Alexandria | meta-GGA SCAN | PBEsol geometry
# - ΔE_f (meV/atom) = 104
data_Cu3Ag
_cell_length_a 3.7042
_cell_length_b 3.7042
_cell_length_c 7.3890
_cell_angle_alpha 90.00
_cell_angle_beta 90.00
_cell_angle_gamma 90.00
_symmetry_space_group_name_H-M 'I 4/m m m'
_symmetry_Int_Tables_number 139
_symmetry_space_group_name_Hall '-I 4 2'
loop_
_atom_site_label
_atom_site_type_symbol
_atom_site_fract_x
_atom_site_fract_y
_atom_site_fract_z
Cu1 Cu 0.0000 0.0000 0.0000
Cu2 Cu 0.0000 0.5000 0.2500
Ag1 Ag 0.0000 0.0000 0.5000

***

# TcB2W | Alexandria | meta-GGA SCAN | PBEsol geometry
# - ΔE_f (meV/atom) = 319
data_TcB2W
_cell_length_a 5.4785
_cell_length_b 5.4785
_cell_length_c 5.4785
_cell_angle_alpha 90.00
_cell_angle_beta 90.00
_cell_angle_gamma 90.00
_symmetry_space_group_name_H-M 'F m -3 m'
_symmetry_Int_Tables_number 225
_symmetry_space_group_name_Hall '-F 4 2 3'
loop_
_atom_site_label
_atom_site_type_symbol
_atom_site_fract_x
_atom_site_fract_y
_atom_site_fract_z
Tc1 Tc 0.0000 0.0000 0.0000
B1 B 0.2500 0.2500 0.2500
W1 W 0.0000 0.0000 0.5000

***

# Zn2NiAs | Alexandria | meta-GGA SCAN | PBEsol geometry
# - ΔE_f (meV/atom) = 54
data_Zn2NiAs
_cell_length_a 4.9434
_cell_length_b 9.3853
_cell_length_c 2.8002
_cell_angle_alpha 90.00
_cell_angle_beta 120.34
_cell_angle_gamma 90.00
_symmetry_space_group_name_H-M 'C 1 2/m 1'
_symmetry_Int_Tables_number 12
loop_
_symmetry_equiv_pos_as_xyz
'x,y,z'
'-x,-y,-z'
'-x,y,-z'
'x,-y,z'
'x+1/2,y+1/2,z'
'-x+1/2,-y+1/2,-z'
'-x+1/2,y+1/2,-z'
'x+1/2,-y+1/2,z'
loop_
_atom_site_label
_atom_site_type_symbol
_atom_site_fract_x
_atom_site_fract_y
_atom_site_fract_z
Zn1 Zn 0.2500 0.2500 0.0000
Ni1 Ni 0.0000 0.0000 0.0000
As1 As 0.0000 0.5000 0.0000

***

# NaSrTi2 | Alexandria | meta-GGA SCAN | PBEsol geometry
# - ΔE_f (meV/atom) = 1137
data_NaSrTi2
_cell_length_a 7.4710
_cell_length_b 7.4710
_cell_length_c 7.4710
_cell_angle_alpha 90.00
_cell_angle_beta 90.00
_cell_angle_gamma 90.00
_symmetry_space_group_name_H-M 'F m -3 m'
_symmetry_Int_Tables_number 225
_symmetry_space_group_name_Hall '-F 4 2 3'
loop_
_atom_site_label
_atom_site_type_symbol
_atom_site_fract_x
_atom_site_fract_y
_atom_site_fract_z
Na1 Na 0.0000 0.0000 0.0000
Sr1 Sr 0.0000 0.0000 0.5000
Ti1 Ti 0.2500 0.2500 0.2500

***

# LiMo2Br | Alexandria | meta-GGA SCAN | PBEsol geometry
# - energy relative to the elements, uncorrected (eV per atom) = 0.527
# - ΔE to the lowest computed polymorph (meV/atom) = 315
data_LiMo2Br
_cell_length_a 3.5562
_cell_length_b 3.5562
_cell_length_c 22.0162
_cell_angle_alpha 90.00
_cell_angle_beta 90.00
_cell_angle_gamma 90.00
_symmetry_space_group_name_H-M 'I -4 2 d'
_symmetry_Int_Tables_number 122
_symmetry_space_group_name_Hall 'I -4 2bw'
loop_
_atom_site_label
_atom_site_type_symbol
_atom_site_fract_x
_atom_site_fract_y
_atom_site_fract_z
Li1 Li 0.0000 0.0000 0.0000
Mo1 Mo 0.2294 0.2500 0.1250
Br1 Br 0.0000 0.0000 0.5000

***

# SrIrS2N | Alexandria | meta-GGA SCAN | PBEsol geometry
# - energy relative to the elements, uncorrected (eV per atom) = 1.768
data_SrIrS2N
_cell_length_a 5.3517
_cell_length_b 5.3517
_cell_length_c 4.5185
_cell_angle_alpha 90.00
_cell_angle_beta 90.00
_cell_angle_gamma 90.00
_symmetry_space_group_name_H-M 'P 4/m m m'
_symmetry_Int_Tables_number 123
_symmetry_space_group_name_Hall '-P 4 2'
loop_
_atom_site_label
_atom_site_type_symbol
_atom_site_fract_x
_atom_site_fract_y
_atom_site_fract_z
Sr1 Sr 0.0000 0.0000 0.0000
Ir1 Ir 0.5000 0.5000 0.5000
S1 S 0.0000 0.5000 0.0000
N1 N 0.0000 0.0000 0.5000

***

# Nd3CuSiSe7 | Alexandria | meta-GGA SCAN | PBEsol geometry
# - energy relative to the elements, uncorrected (eV per atom) = -1.553
data_Nd3CuSiSe7
_cell_length_a 10.4725
_cell_length_b 10.4725
_cell_length_c 5.9737
_cell_angle_alpha 90.00
_cell_angle_beta 90.00
_cell_angle_gamma 120.00
_symmetry_space_group_name_H-M 'P 63'
_symmetry_Int_Tables_number 173
loop_
_symmetry_equiv_pos_as_xyz
'x,y,z'
'x-y,x,z+1/2'
'-y,x-y,z'
'-x,-y,z+1/2'
'-x+y,-x,z'
'y,-x+y,z+1/2'
loop_
_atom_site_label
_atom_site_type_symbol
_atom_site_fract_x
_atom_site_fract_y
_atom_site_fract_z
Nd1 Nd 0.1279 0.7722 0.0000
Cu1 Cu 0.0000 0.0000 0.0246
Si1 Si 0.3333 0.6667 0.4142
Se1 Se 0.0921 0.8355 0.5130
Se2 Se 0.1031 0.5207 0.2644
Se3 Se 0.3333 0.6667 0.7914

***

# CuSeF3 | Alexandria | meta-GGA SCAN | PBEsol geometry
# - energy relative to the elements, uncorrected (eV per atom) = -0.397
data_CuSeF3
_cell_length_a 4.2774
_cell_length_b 4.2774
_cell_length_c 4.2774
_cell_angle_alpha 90.00
_cell_angle_beta 90.00
_cell_angle_gamma 90.00
_symmetry_space_group_name_H-M 'P m -3 m'
_symmetry_Int_Tables_number 221
_symmetry_space_group_name_Hall '-P 4 2 3'
loop_
_atom_site_label
_atom_site_type_symbol
_atom_site_fract_x
_atom_site_fract_y
_atom_site_fract_z
Cu1 Cu 0.0000 0.0000 0.0000
Se1 Se 0.5000 0.5000 0.5000
F1 F 0.0000 0.5000 0.5000

***

# TaSbAu | Alexandria | meta-GGA SCAN | PBEsol geometry
# - energy relative to the elements, uncorrected (eV per atom) = 0.159
# - ΔE to the lowest computed polymorph (meV/atom) = 19
data_TaSbAu
_cell_length_a 3.1091
_cell_length_b 3.1091
_cell_length_c 6.9985
_cell_angle_alpha 90.00
_cell_angle_beta 90.00
_cell_angle_gamma 120.00
_symmetry_space_group_name_H-M 'P 3 m 1'
_symmetry_Int_Tables_number 156
loop_
_symmetry_equiv_pos_as_xyz
'x,y,z'
'-y,x-y,z'
'-x+y,-x,z'
'-y,-x,z'
'-x+y,y,z'
'x,x-y,z'
loop_
_atom_site_label
_atom_site_type_symbol
_atom_site_fract_x
_atom_site_fract_y
_atom_site_fract_z
Ta1 Ta 0.0000 0.0000 0.0000
Sb1 Sb 0.3333 0.6667 0.3344
Au1 Au 0.6667 0.3333 0.6940

***

# Li2ZnAu | Alexandria | meta-GGA SCAN | PBEsol geometry
# - ΔE_f (meV/atom) = -425
data_Li2ZnAu
_cell_length_a 2.8857
_cell_length_b 3.6796
_cell_length_c 5.4345
_cell_angle_alpha 90.00
_cell_angle_beta 90.00
_cell_angle_gamma 90.00
_symmetry_space_group_name_H-M 'P m m m'
_symmetry_Int_Tables_number 47
loop_
_symmetry_equiv_pos_as_xyz
'x,y,z'
'-x,-y,-z'
'-x,-y,z'
'x,y,-z'
'x,-y,-z'
'-x,y,z'
'-x,y,-z'
'x,-y,z'
loop_
_atom_site_label
_atom_site_type_symbol
_atom_site_fract_x
_atom_site_fract_y
_atom_site_fract_z
Li1 Li 0.0000 0.0000 0.2421
Zn1 Zn 0.5000 0.5000 0.5000
Au1 Au 0.5000 0.5000 0.0000

***

# MnAgMo | Alexandria | meta-GGA SCAN | PBEsol geometry
# - ΔE_f (meV/atom) = 816
data_MnAgMo
_cell_length_a 5.8143
_cell_length_b 5.8143
_cell_length_c 5.8143
_cell_angle_alpha 90.00
_cell_angle_beta 90.00
_cell_angle_gamma 90.00
_symmetry_space_group_name_H-M 'F -4 3 m'
_symmetry_Int_Tables_number 216
_symmetry_space_group_name_Hall 'F -4 2 3'
loop_
_atom_site_label
_atom_site_type_symbol
_atom_site_fract_x
_atom_site_fract_y
_atom_site_fract_z
Mn1 Mn 0.0000 0.0000 0.0000
Ag1 Ag 0.2500 0.2500 0.2500
Mo1 Mo 0.2500 0.2500 0.7500

***

# ErGaO3 | Alexandria | meta-GGA SCAN | PBEsol geometry
# - energy relative to the elements, uncorrected (eV per atom) = -3.048
data_ErGaO3
_cell_length_a 5.9827
_cell_length_b 5.9827
_cell_length_c 11.5655
_cell_angle_alpha 90.00
_cell_angle_beta 90.00
_cell_angle_gamma 120.00
_symmetry_space_group_name_H-M 'P 63 c m'
_symmetry_Int_Tables_number 185
_symmetry_space_group_name_Hall 'P 6c -2'
loop_
_atom_site_label
_atom_site_type_symbol
_atom_site_fract_x
_atom_site_fract_y
_atom_site_fract_z
Er1 Er 0.0000 0.0000 0.0000
Er2 Er 0.3333 0.6667 0.4575
Ga1 Ga 0.0000 0.3341 0.2250
O1 O 0.0000 0.0000 0.2014
O2 O 0.0000 0.3051 0.3887
O3 O 0.0000 0.3612 0.0627
O4 O 0.3333 0.6667 0.2456

***

# Cd2WBr | Alexandria | meta-GGA SCAN | PBEsol geometry
# - energy relative to the elements, uncorrected (eV per atom) = 1.235
# - ΔE to the lowest computed polymorph (meV/atom) = 611
data_Cd2WBr
_cell_length_a 6.7813
_cell_length_b 6.7813
_cell_length_c 6.7813
_cell_angle_alpha 90.00
_cell_angle_beta 90.00
_cell_angle_gamma 90.00
_symmetry_space_group_name_H-M 'F -4 3 m'
_symmetry_Int_Tables_number 216
_symmetry_space_group_name_Hall 'F -4 2 3'
loop_
_atom_site_label
_atom_site_type_symbol
_atom_site_fract_x
_atom_site_fract_y
_atom_site_fract_z
Cd1 Cd 0.0000 0.0000 0.0000
Cd2 Cd 0.2500 0.2500 0.2500
W1 W 0.0000 0.0000 0.5000
Br1 Br 0.2500 0.2500 0.7500

***

# TlZn3P | Alexandria | meta-GGA SCAN | PBEsol geometry
# - ΔE_f (meV/atom) = 352
data_TlZn3P
_cell_length_a 4.7061
_cell_length_b 4.7061
_cell_length_c 4.7061
_cell_angle_alpha 90.00
_cell_angle_beta 90.00
_cell_angle_gamma 90.00
_symmetry_space_group_name_H-M 'P m -3 m'
_symmetry_Int_Tables_number 221
_symmetry_space_group_name_Hall '-P 4 2 3'
loop_
_atom_site_label
_atom_site_type_symbol
_atom_site_fract_x
_atom_site_fract_y
_atom_site_fract_z
Tl1 Tl 0.0000 0.0000 0.0000
Zn1 Zn 0.0000 0.5000 0.5000
P1 P 0.5000 0.5000 0.5000

***

# HgPt3 | Alexandria | meta-GGA SCAN | PBEsol geometry
# - ΔE_f (meV/atom) = 110
data_HgPt3
_cell_length_a 4.0026
_cell_length_b 4.0026
_cell_length_c 4.0026
_cell_angle_alpha 90.00
_cell_angle_beta 90.00
_cell_angle_gamma 90.00
_symmetry_space_group_name_H-M 'P m -3 m'
_symmetry_Int_Tables_number 221
_symmetry_space_group_name_Hall '-P 4 2 3'
loop_
_atom_site_label
_atom_site_type_symbol
_atom_site_fract_x
_atom_site_fract_y
_atom_site_fract_z
Hg1 Hg 0.0000 0.0000 0.0000
Pt1 Pt 0.0000 0.5000 0.5000

***

# MnPO4 | Alexandria | meta-GGA SCAN | PBEsol geometry
# - energy relative to the elements, uncorrected (eV per atom) = -2.237
data_MnPO4
_cell_length_a 4.9781
_cell_length_b 4.9781
_cell_length_c 11.4701
_cell_angle_alpha 90.00
_cell_angle_beta 90.00
_cell_angle_gamma 120.00
_symmetry_space_group_name_H-M 'P 31 2 1'
_symmetry_Int_Tables_number 152
loop_
_symmetry_equiv_pos_as_xyz
'x,y,z'
'-y,x-y,z+1/3'
'-x+y,-x,z+2/3'
'y,x,-z'
'x-y,-y,-z+2/3'
'-x,-x+y,-z+1/3'
loop_
_atom_site_label
_atom_site_type_symbol
_atom_site_fract_x
_atom_site_fract_y
_atom_site_fract_z
Mn1 Mn 0.0000 0.4444 0.1667
P1 P 0.0000 0.4269 0.6667
O1 O 0.1069 0.6584 0.7696
O2 O 0.1136 0.7290 0.2922

***

# Li2TlBr | Alexandria | meta-GGA SCAN | PBEsol geometry
# - energy relative to the elements, uncorrected (eV per atom) = -0.755
# - ΔE to the lowest computed polymorph (meV/atom) = 0
data_Li2TlBr
_cell_length_a 3.3141
_cell_length_b 3.3141
_cell_length_c 7.6586
_cell_angle_alpha 90.00
_cell_angle_beta 90.00
_cell_angle_gamma 90.00
_symmetry_space_group_name_H-M 'P 4/m m m'
_symmetry_Int_Tables_number 123
_symmetry_space_group_name_Hall '-P 4 2'
loop_
_atom_site_label
_atom_site_type_symbol
_atom_site_fract_x
_atom_site_fract_y
_atom_site_fract_z
Li1 Li 0.0000 0.0000 0.2092
Tl1 Tl 0.5000 0.5000 0.5000
Br1 Br 0.5000 0.5000 0.0000

***

# AgPtW2 | Alexandria | meta-GGA SCAN | PBEsol geometry
# - ΔE to the lowest computed polymorph (meV/atom) = 0
# - ΔE_f (meV/atom) = 233
data_AgPtW2
_cell_length_a 2.7004
_cell_length_b 4.0301
_cell_length_c 5.6990
_cell_angle_alpha 90.00
_cell_angle_beta 90.00
_cell_angle_gamma 90.00
_symmetry_space_group_name_H-M 'P m m 2'
_symmetry_Int_Tables_number 25
loop_
_symmetry_equiv_pos_as_xyz
'x,y,z'
'-x,-y,z'
'-x,y,z'
'x,-y,z'
loop_
_atom_site_label
_atom_site_type_symbol
_atom_site_fract_x
_atom_site_fract_y
_atom_site_fract_z
Ag1 Ag 0.0000 0.0000 0.0000
Pt1 Pt 0.5000 0.5000 0.2485
W1 W 0.0000 0.0000 0.4945
W2 W 0.5000 0.5000 0.7465

***

# AgTe2NF | Alexandria | meta-GGA SCAN | PBEsol geometry
# - energy relative to the elements, uncorrected (eV per atom) = 0.889
data_AgTe2NF
_cell_length_a 4.7223
_cell_length_b 4.7223
_cell_length_c 4.5864
_cell_angle_alpha 90.00
_cell_angle_beta 90.00
_cell_angle_gamma 90.00
_symmetry_space_group_name_H-M 'P 4/m m m'
_symmetry_Int_Tables_number 123
_symmetry_space_group_name_Hall '-P 4 2'
loop_
_atom_site_label
_atom_site_type_symbol
_atom_site_fract_x
_atom_site_fract_y
_atom_site_fract_z
Ag1 Ag 0.0000 0.0000 0.0000
Te1 Te 0.0000 0.5000 0.5000
N1 N 0.5000 0.5000 0.0000
F1 F 0.5000 0.5000 0.5000